Compound: PmSm4Cu5
Source: Alexandria via LeMat-Bulk
Functional: PBE-GGA
Structure: relaxed

formation energy from the elements: -0.18 eV/atom
D(E_F): 6.1 states/eV per cell
crystal system: tetragonal

Unit cell a=3.5365 b=3.5365 c=17.8814 alpha=90.00 beta=90.00 gamma=90.00
Sites, in units of the cell vectors:
Pm 0.0000 0.0000 0.0000
Sm 0.0000 0.0000 0.2007
Sm 0.0000 0.0000 0.4002
Sm 0.0000 0.0000 0.5998
Sm 0.0000 0.0000 0.7993
Cu 0.5000 0.5000 0.1016
Cu 0.5000 0.5000 0.3005
Cu 0.5000 0.5000 0.5000
Cu 0.5000 0.5000 0.6995
Cu 0.5000 0.5000 0.8984